# FeAg5F8

An optimized crystal structure of FeAg5F8 (GGA+U, the Alexandria database).

Unit cell a=6.9983 b=6.9983 c=6.9983 alpha=103.98 beta=103.98 gamma=121.13
Closest atoms and distances in Å follow each position.
Fractional positions:
1 Fe 0.0000 0.0000 0.0000  4 F 1.87
2 Ag 0.2060 0.2343 0.5849  4 F 2.29-2.51
3 Ag 0.3789 0.7940 0.0283  4 F 2.29-2.51
4 Ag 0.6494 0.6211 0.4151  4 F 2.29-2.51
5 Ag 0.7500 0.2500 0.5000  4 F 2.37
6 Ag 0.7657 0.3506 0.9717  4 F 2.29-2.51
7 F 0.0508 0.8165 0.1305  1 Fe 1.87
8 F 0.0614 0.3768 0.8365  4 Ag 2.29-2.48
9 F 0.0797 0.9492 0.7657  1 Fe 1.87
10 F 0.1835 0.3140 0.2343  1 Fe 1.87
11 F 0.5403 0.2249 0.1635  4 Ag 2.29-2.48
12 F 0.6232 0.4597 0.6846  4 Ag 2.29-2.48
13 F 0.6860 0.9203 0.8695  1 Fe 1.87
14 F 0.7751 0.9386 0.3154  4 Ag 2.29-2.48

Size of the total moment (μB/f.u.): 5.0
Raw total energy (eV/cell): -53.3
Crystal system: tetragonal